Below is an optimized crystal structure of BaScTe2N, with properties calculated at the PBE level.

Cell and atoms, written as POSCAR:
```
BaScTe2N
1.0
6.329 0.000 0.000
0.000 6.329 0.000
0.000 0.000 4.438
Ba Sc Te N
1 1 2 1
direct
0.000 0.000 0.000
0.500 0.500 0.500
0.000 0.500 0.000
0.500 0.000 0.000
0.000 0.000 0.500
```

## Properties
E_tot = -19.35 eV/cell
Spin magnetization = 0.31 μB per atom
Space-group type = No. 123
Distance to the lowest polymorph of the same formula = 141.03 kJ per mole of atoms